KTl2PbBr8: optimized geometry, PBE-GGA.

Properties
Fermi-level density of states ... 8.0 states/eV/cell
Uncorrected energy ... -31.844 eV per formula unit
Raw formation energy ... -0.744 eV/atom

abc: 7.3715 7.3715 10.4190
angles: 90.00 90.00 120.00
With the nearest neighbours (Å) after each atom.
Space group P-3 (No. 147)
One atom of each set of equivalent atoms:
K (0.0000, 0.0000, 0.0000) [1 per cell]  12 Br 4.01-4.26
Tl (0.3333, 0.6667, 0.7613) [2 per cell]  4 Br 2.67-2.76
Pb (0.0000, 0.0000, 0.5000) [1 per cell]  6 Br 3.04
Br (0.0237, 0.6955, 0.3130) [6 per cell]  1 Tl 2.76, 1 Pb 3.04
Br (0.3333, 0.6667, 0.0173) [2 per cell]  1 Tl 2.67